#P
# AgTe2Ir, relaxed, DFT PBE
data_AgTe2Ir
_cell_length_a 4.6555
_cell_length_b 4.0875
_cell_length_c 5.7336
_cell_angle_alpha 90.00
_cell_angle_beta 106.56
_cell_angle_gamma 90.00
_space_group_name_H-M_alt 'P 1'
_space_group_IT_number 1
loop_
_space_group_symop_operation_xyz
'x,y,z'
loop_
_atom_site_label
_atom_site_type_symbol
_atom_site_fract_x
_atom_site_fract_y
_atom_site_fract_z
Ag1 Ag 0.0000 0.0000 0.0000
Te1 Te 0.3614 0.0000 0.6744
Te2 Te 0.6846 0.5000 0.1983
Ir1 Ir 0.2523 0.5000 0.3861
# D(E_F)	0.38	states/eV/atom

***

#Q
# AgTe2Ir, relaxed, DFT PBE
data_AgTe2Ir
_cell_length_a 5.3000
_cell_length_b 3.9469
_cell_length_c 5.3338
_cell_angle_alpha 90.00
_cell_angle_beta 115.29
_cell_angle_gamma 90.00
_space_group_name_H-M_alt 'P 1'
_space_group_IT_number 1
loop_
_space_group_symop_operation_xyz
'x,y,z'
loop_
_atom_site_label
_atom_site_type_symbol
_atom_site_fract_x
_atom_site_fract_y
_atom_site_fract_z
Ag1 Ag 0.0000 0.0000 0.0000
Te1 Te 0.3102 0.5000 0.6904
Te2 Te 0.6898 0.5000 0.3096
Ir1 Ir 0.5000 0.0000 0.5000
# D(E_F)	0.43	states/eV/atom

***

Stability, highest: #P